# GdC

GdC after structural relaxation (GGA-PBE, Alexandria via LeMat-Bulk).

extended XYZ file:
```
4
Lattice="-0.631 -2.615 2.154 0.159 -1.891 -2.248 6.797 0.604 -0.028" Properties=species:S:1:pos:R:3 pbc="T T T"
Gd 1.256 -1.944 0.761
Gd 5.070 -1.957 -0.883
C 5.843 -2.412 1.479
C 0.482 -1.489 -1.601
```

uncorrected energy	-11.584	eV/atom
formation energy from the elements	13	kJ/mol of formula units
total moment	7.1	μB per formula unit